Computed, not measured: K2FeF5 after structural relaxation at the GGA+U level of DFT.

Output
VASP energy, hartree per atom: -0.1789
Total magnetic moment, μB/f.u.: 5.00

Lattice parameters (Å, degrees): 7.5420 5.7604 11.7221 90.00 90.00 90.00
Fractional coordinates of all 32 atoms:
K (0.0124, 0.2500, 0.2270)
K (0.1559, 0.7500, 0.4151)
K (0.3441, 0.2500, 0.9151)
K (0.4876, 0.7500, 0.7270)
K (0.5124, 0.2500, 0.2730)
K (0.6559, 0.7500, 0.0849)
K (0.8441, 0.2500, 0.5849)
K (0.9876, 0.7500, 0.7730)
Fe (0.1705, 0.7500, 0.0610)
Fe (0.3295, 0.2500, 0.5610)
Fe (0.6705, 0.7500, 0.4390)
Fe (0.8295, 0.2500, 0.9390)
F (0.0000, 0.0000, 0.0000)
F (0.0000, 0.5000, 0.0000)
F (0.0319, 0.7500, 0.1979)
F (0.1754, 0.0062, 0.6112)
F (0.1754, 0.4938, 0.6112)
F (0.2255, 0.2500, 0.4076)
F (0.2745, 0.7500, 0.9076)
F (0.3246, 0.5062, 0.1112)
F (0.3246, 0.9938, 0.1112)
F (0.4682, 0.2500, 0.6979)
F (0.5000, 0.0000, 0.5000)
F (0.5000, 0.5000, 0.5000)
F (0.5318, 0.7500, 0.3021)
F (0.6754, 0.0062, 0.8888)
F (0.6754, 0.4938, 0.8888)
F (0.7255, 0.2500, 0.0924)
F (0.7745, 0.7500, 0.5924)
F (0.8246, 0.5062, 0.3888)
F (0.8246, 0.9938, 0.3888)
F (0.9682, 0.2500, 0.8021)